Entry 1:
First-principles (PBE) data for a relaxed LaZnBr2 crystal, as listed in the Alexandria database.

## Properties
Formation energy from raw total energies   -0.8615 eV/atom

Lattice parameters (Å, degrees): 5.0278 5.0278 19.8819 90.00 90.00 90.00
Closest atoms and distances in Å follow each position.
Space group I-42d (No. 122)
Asymmetric unit:
La  0.0000  0.0000  0.0000 x4  4 Br 3.03
Zn  0.0000  0.0000  0.5000 x4  4 Br 3.09
Br  0.2353  0.2500  0.1250 x8  2 La 3.03, 2 Zn 3.09

***

Entry 2:
First-principles (PBE) data for a relaxed Dy7Al2Ag2 crystal, as listed in the Alexandria database.

## Properties
Formation energy   0.024 eV per atom

Lattice parameters (Å, degrees): 7.8179 10.9277 7.3691 90.00 90.00 90.00
Closest atoms and distances in Å follow each position.
Space group Cmmm (No. 65)
Asymmetric unit:
Dy  0.0000  0.0000  0.0000 x2  2 Ag 3.20
Dy  0.0000  0.5000  0.2668 x4  2 Ag 3.00, 2 Al 3.12
Dy  0.2500  0.2500  0.2800 x8  2 Ag 2.88
Al  0.1676  0.0000  0.5000 x4  1 Al 2.62
Ag  0.0000  0.2930  0.0000 x4  7 Dy 2.88-3.20